No. 1
Entry from Alexandria: an optimized crystal structure of Nd2LuRh (PBE-GGA).

Properties
symmetry: R-3m, No. 166
raw total energy: -5.40 eV per atom
total moment: 0.00 μB/atom
calculated formation energy: -44.6 meV per atom
offset from the most stable computed form: 203.3 meV per atom
density of states at the Fermi level: 1.1826 states/eV per atom

a b c (Å): 3.675 3.675 10.834
angles (deg): 80.23 80.23 60.00
Atoms (fractional coordinates):
Nd 0.108 0.108 0.675
Nd 0.892 0.892 0.325
Lu 0.000 0.000 0.000
Rh 0.500 0.500 0.500


No. 2
Entry from Alexandria: an optimized crystal structure of NdLuRh (PBE-GGA).

Properties
symmetry: P3m1, No. 156
raw total energy: -6.03 eV per atom
total moment: 0.00 μB/atom
calculated formation energy: -479.1 meV per atom
offset from the most stable computed form: 55.4 meV per atom
density of states at the Fermi level: 0.8946 states/eV per atom

a b c (Å): 6.147 4.052 4.052
angles (deg): 120.00 90.00 90.00
Atoms (fractional coordinates):
Lu 0.234 0.333 0.667
Rh 0.014 0.000 0.000
Nd 0.752 0.667 0.333